Record 1
The following is a DFT calculation (PBE) of crystalline ZnFe3Ru at its relaxed geometry.

The space group is Pm-3m (No. 221) and the conventional cell measures 4.325, 4.325 and 4.325 Å, with angles of 90.00, 90.00 and 90.00 degrees. The asymmetric unit holds Zn at (0.000, 0.000, 0.000), Fe at (0.000, 0.000, 0.500) and Ru at (0.500, 0.500, 0.500).

For the formation energy, the calculation gives 1391 meV per atom. As for the crystal system: cubic.

Record 2
The following is a DFT calculation (PBE) of crystalline InTe2PtN at its relaxed geometry.

The space group is P4/mmm (No. 123) and the conventional cell measures 5.715, 5.715 and 3.881 Å, with angles of 90.00, 90.00 and 90.00 degrees. The asymmetric unit holds In at (0.000, 0.000, 0.000), Te at (0.000, 0.500, 0.000), Pt at (0.500, 0.500, 0.500) and N at (0.000, 0.000, 0.500).

As for the crystal system: tetragonal.

Record 3
The following is a DFT calculation (PBE) of crystalline NaTiGa2 at its relaxed geometry.

The space group is I-42d (No. 122) and the conventional cell measures 4.375, 4.375 and 18.583 Å, with angles of 90.00, 90.00 and 90.00 degrees. The asymmetric unit holds Na at (0.000, 0.000, 0.000), Ti at (0.000, 0.000, 0.500) and Ga at (0.183, 0.250, 0.625).

For the formation energy, the calculation gives 394 meV per atom. As for the crystal system: tetragonal.

Record 4
The following is a DFT calculation (PBE) of crystalline HBr at its relaxed geometry.

The space group is P2_12_12_1 (No. 19) and the conventional cell measures 7.019, 7.379 and 9.510 Å, with angles of 90.00, 90.00 and 90.00 degrees. The asymmetric unit holds H at (0.079, 0.045, 0.389), H at (0.209, 0.638, 0.917), Br at (0.183, 0.460, 0.984) and Br at (0.249, 0.089, 0.305).

As for the crystal system: orthorhombic.

Record 5
The following is a DFT calculation (PBE) of crystalline RbVBi2H at its relaxed geometry.

The space group is P4/mmm (No. 123) and the conventional cell measures 6.334, 6.334 and 3.595 Å, with angles of 90.00, 90.00 and 90.00 degrees. The asymmetric unit holds Rb at (0.000, 0.000, 0.000), V at (0.500, 0.500, 0.500), Bi at (0.000, 0.500, 0.000) and H at (0.000, 0.000, 0.500).

As for the crystal system: tetragonal.

Record 6
The following is a DFT calculation (PBE) of crystalline Pm5TcGe4 at its relaxed geometry.

The space group is C2/m (No. 12) and the conventional cell measures 18.687, 3.855 and 7.910 Å, with angles of 90.00, 113.55 and 90.00 degrees. The asymmetric unit holds Pm at (0.000, 0.000, 0.000), Pm at (0.137, 0.500, 0.500), Pm at (0.191, 0.500, 0.110), Tc at (0.000, 0.000, 0.500), Ge at (0.031, 0.500, 0.748) and Ge at (0.136, 0.000, 0.791).

For the formation energy, the calculation gives -467 meV per atom. As for the crystal system: monoclinic.

Record 7
The following is a DFT calculation (PBE) of crystalline FePb2Br at its relaxed geometry.

The space group is P4mm (No. 99) and the conventional cell measures 3.327, 3.327 and 9.513 Å, with angles of 90.00, 90.00 and 90.00 degrees. The asymmetric unit holds Fe at (0.000, 0.000, 0.000), Pb at (0.000, 0.000, 0.502), Pb at (0.500, 0.500, 0.218) and Br at (0.500, 0.500, 0.855).

As for the crystal system: tetragonal.

Record 8
The following is a DFT calculation (PBE) of crystalline B5C7 at its relaxed geometry.

The space group is C222 (No. 21) and the conventional cell measures 3.520, 12.575 and 3.516 Å, with angles of 90.00, 90.00 and 90.00 degrees. The asymmetric unit holds B at (0.000, 0.000, 0.000), B at (0.242, 0.406, 0.741), C at (0.000, 0.179, 0.500), C at (0.000, 0.321, 0.000), C at (0.000, 0.500, 0.500) and C at (0.250, 0.250, 0.247).

For the formation energy, the calculation gives 413 meV per atom. As for the crystal system: orthorhombic.

Record 9
The following is a DFT calculation (PBE) of crystalline Pm2Zn4Ga3 at its relaxed geometry.

The space group is Cmce (No. 64) and the conventional cell measures 5.858, 15.328 and 7.772 Å, with angles of 90.00, 90.00 and 90.00 degrees. The asymmetric unit holds Pm at (0.000, 0.108, 0.097), Zn at (0.000, 0.175, 0.488), Zn at (0.250, 0.065, 0.750), Ga at (0.000, 0.000, 0.500) and Ga at (0.250, 0.233, 0.750).

For the formation energy, the calculation gives -373 meV per atom. As for the crystal system: orthorhombic.

Record 10
The following is a DFT calculation (PBE) of crystalline U2Co6Si at its relaxed geometry.

The space group is P-3m1 (No. 164) and the conventional cell measures 5.0574, 5.0574 and 5.4953 Å, with angles of 90.00, 90.00 and 120.00 degrees. The asymmetric unit holds U at (0.3333, 0.6667, 0.2899), Co at (0.1706, 0.3413, 0.8168) and Si at (0.0000, 0.0000, 0.5000).

As for the crystal system: trigonal.

Record 11
The following is a DFT calculation (PBE) of crystalline Mg2ZnIn4 at its relaxed geometry.

The space group is Fd-3m (No. 227, origin choice 2) and the conventional cell measures 14.061, 14.061 and 14.061 Å, with angles of 90.00, 90.00 and 90.00 degrees. The asymmetric unit holds Mg at (0.039, 0.039, 0.211), Zn at (0.000, 0.000, 0.500), In at (0.000, 0.000, 0.000) and In at (0.089, 0.375, 0.875).

For the formation energy, the calculation gives 26 meV per atom. As for the crystal system: cubic.

Record 12
The following is a DFT calculation (PBE) of crystalline Tb6PmPr3 at its relaxed geometry.

The space group is R-3 (No. 148, hexagonal axes) and the conventional cell measures 9.9929, 9.9929 and 11.7860 Å, with angles of 90.00, 90.00 and 120.00 degrees. The asymmetric unit holds Tb at (0.0010, 0.6747, 0.2501), Pm at (0.0000, 0.0000, 0.5000), Pr at (0.0000, 0.0000, 0.0000) and Pr at (0.0000, 0.0000, 0.2507).

For the formation energy, the calculation gives 280 meV per atom. As for the crystal system: trigonal.

Record 13
The following is a DFT calculation (PBE) of crystalline NaNdErCd at its relaxed geometry.

The space group is F-43m (No. 216) and the conventional cell measures 7.715, 7.715 and 7.715 Å, with angles of 90.00, 90.00 and 90.00 degrees. The asymmetric unit holds Na at (0.000, 0.000, 0.000), Nd at (0.250, 0.250, 0.750), Er at (0.250, 0.250, 0.250) and Cd at (0.000, 0.000, 0.500).

For the formation energy, the calculation gives 32 meV per atom. As for the crystal system: cubic.

Record 14
The following is a DFT calculation (PBE) of crystalline SrMg6Cd12 at its relaxed geometry.

The space group is R-3m (No. 166, hexagonal axes) and the conventional cell measures 12.7633, 12.7633 and 10.2211 Å, with angles of 90.00, 90.00 and 120.00 degrees. The asymmetric unit holds Sr at (0.0000, 0.0000, 0.0000), Mg at (0.0608, 0.5304, 0.2348), Cd at (0.0000, 0.3890, 0.5000) and Cd at (0.0836, 0.1671, 0.2905).

For the formation energy, the calculation gives -32 meV per atom. As for the crystal system: trigonal.

Record 15
The following is a DFT calculation (PBE) of crystalline DyPuU at its relaxed geometry.

The space group is I4mm (No. 107) and the conventional cell measures 3.487, 3.487 and 12.095 Å, with angles of 90.00, 90.00 and 90.00 degrees. The asymmetric unit holds Dy at (0.000, 0.000, 0.000), Pu at (0.000, 0.000, 0.292) and U at (0.000, 0.000, 0.715).

For the formation energy, the calculation gives 238 meV per atom. As for the crystal system: tetragonal.

Record 16
The following is a DFT calculation (PBE) of crystalline IrSe2F at its relaxed geometry.

The space group is C2/m (No. 12) and the conventional cell measures 6.493, 10.217 and 4.687 Å, with angles of 90.00, 95.06 and 90.00 degrees. The asymmetric unit holds Ir at (0.000, 0.169, 0.000), Se at (0.195, 0.328, 0.290) and F at (0.139, 0.000, 0.223).

As for the crystal system: monoclinic.

Record 17
The following is a DFT calculation (PBE) of crystalline Ba2GeSb3Au4 at its relaxed geometry.

The space group is P-4m2 (No. 115) and the conventional cell measures 4.870, 4.870 and 11.181 Å, with angles of 90.00, 90.00 and 90.00 degrees. The asymmetric unit holds Ba at (0.000, 0.500, 0.247), Ge at (0.000, 0.000, 0.500), Sb at (0.000, 0.500, 0.869), Sb at (0.500, 0.500, 0.500), Au at (0.000, 0.000, 0.000), Au at (0.000, 0.500, 0.621) and Au at (0.500, 0.500, 0.000).

As for the crystal system: tetragonal.

Record 18
The following is a DFT calculation (PBE) of crystalline SiIr2Pb at its relaxed geometry.

The space group is Pm (No. 6) and the conventional cell measures 3.689, 4.413 and 4.640 Å, with angles of 90.00, 99.04 and 90.00 degrees. The asymmetric unit holds Si at (0.000, 0.000, 0.000), Ir at (0.023, 0.500, 0.192), Ir at (0.568, 0.000, 0.321) and Pb at (0.497, 0.500, 0.700).

As for the crystal system: monoclinic.

Record 19
The following is a DFT calculation (PBE) of crystalline Li2SiCl at its relaxed geometry.

The space group is Fm-3m (No. 225) and the conventional cell measures 6.712, 6.712 and 6.712 Å, with angles of 90.00, 90.00 and 90.00 degrees. The asymmetric unit holds Li at (0.250, 0.250, 0.250), Si at (0.000, 0.000, 0.000) and Cl at (0.000, 0.000, 0.500).

As for the crystal system: cubic.

Record 20
The following is a DFT calculation (PBE) of crystalline SmScAg4 at its relaxed geometry.

The space group is F-43m (No. 216) and the conventional cell measures 7.999, 7.999 and 7.999 Å, with angles of 90.00, 90.00 and 90.00 degrees. The asymmetric unit holds Sm at (0.000, 0.000, 0.000), Sc at (0.250, 0.250, 0.250) and Ag at (0.124, 0.124, 0.624).

For the formation energy, the calculation gives -121 meV per atom. As for the crystal system: cubic.

The calculation returns the following total DFT energy (no corrections) values, one per record and in order: -5.796; -3.391; -3.423; -2.762; -2.671; -5.726; -4.167; -7.750; -3.004; -8.168; -2.177; -4.407; -2.859; -1.202; -9.836; -5.112; -3.977; -6.579; -2.818; -3.864 eV per atom.